A relaxed structure of VWSe2N, computed with PBE.

As for the excess energy over the best structure of this formula in the dataset: 0.0 meV/atom. The formation energy (no corrections) is 0.585 eV per atom.

Unit cell a=5.0535 b=5.0535 c=3.7855 alpha=90.00 beta=90.00 gamma=90.00
With the nearest neighbours (Å) after each atom.
Space group P4/mmm (No. 123)
Inequivalent atoms, fractional coordinates:
V  0.0000  0.0000  0.0000 [1 per cell]  8 Se 3.16
W  0.5000  0.5000  0.5000 [1 per cell]  2 N 1.89
Se  0.0000  0.5000  0.5000 [2 per cell]  2 W 2.53
N  0.5000  0.5000  0.0000 [1 per cell]  2 W 1.89

A relaxed structure of VWSeN2, computed with PBE.

As for the excess energy over the best structure of this formula in the dataset: 0.0 meV/atom. The formation energy (no corrections) is 0.604 eV per atom.

Unit cell a=3.8924 b=3.8924 c=5.2321 alpha=90.00 beta=90.00 gamma=90.00
With the nearest neighbours (Å) after each atom.
Space group P4/mmm (No. 123)
Inequivalent atoms, fractional coordinates:
V  0.0000  0.0000  0.0000 [1 per cell]  4 Se 2.75
W  0.5000  0.5000  0.5000 [1 per cell]  4 N 1.95
Se  0.5000  0.5000  0.0000 [1 per cell]  2 W 2.62, 4 V 2.75
N  0.0000  0.5000  0.5000 [2 per cell]  2 W 1.95

A relaxed structure of YVSe2N, computed with PBE.

As for the excess energy over the best structure of this formula in the dataset: 0.0 meV/atom. The formation energy (no corrections) is -0.804 eV per atom.

Unit cell a=5.0087 b=5.0087 c=3.6949 alpha=90.00 beta=90.00 gamma=90.00
With the nearest neighbours (Å) after each atom.
Space group P4/mmm (No. 123)
Inequivalent atoms, fractional coordinates:
Y  0.0000  0.0000  0.0000 [1 per cell]  8 Se 3.11
V  0.5000  0.5000  0.5000 [1 per cell]  2 N 1.85
Se  0.0000  0.5000  0.5000 [2 per cell]  2 V 2.50
N  0.5000  0.5000  0.0000 [1 per cell]  2 V 1.85